## HoZn2Cd (PBE)

Data for HoZn2Cd after structural relaxation.

Properties
Fermi-level density of states (states/eV/atom): 0.83
Symmetry: P4/mmm
ΔH_f (0 K) (eV/atom): -0.20
ΔE to the lowest computed polymorph (meV per atom): 87
Raw total energy (eV/atom): -2.21

Cell: 4.457 4.457 4.194 Å, 90.00 90.00 90.00°
Fractional positions:
Ho 0.000 0.000 0.000
Zn 0.000 0.500 0.500
Zn 0.500 0.000 0.500
Cd 0.500 0.500 0.000



## HoZn4Cd8 (PBE)

Data for HoZn4Cd8 after structural relaxation.

Properties
Fermi-level density of states (states/eV/atom): 0.18
Symmetry: I4/mmm
ΔH_f (0 K) (eV/atom): -0.09
Raw total energy (eV/atom): -1.39

Cell: 7.351 7.351 7.351 Å, 98.62 98.62 134.46°
Fractional positions:
Ho 0.000 0.000 0.000
Zn 0.000 0.000 0.500
Zn 0.000 0.500 0.000
Zn 0.500 0.000 0.000
Zn 0.500 0.500 0.500
Cd 0.000 0.344 0.344
Cd 0.000 0.656 0.656
Cd 0.284 0.500 0.784
Cd 0.344 0.000 0.344
Cd 0.500 0.284 0.784
Cd 0.500 0.716 0.216
Cd 0.656 0.000 0.656
Cd 0.716 0.500 0.216



## Ho3ZnCd2 (PBE)

Data for Ho3ZnCd2 after structural relaxation.

Properties
Fermi-level density of states (states/eV/atom): 1.00
Symmetry: P-3m1
ΔH_f (0 K) (eV/atom): -0.31
ΔE to the lowest computed polymorph (meV per atom): 11
Raw total energy (eV/atom): -3.12

Cell: 5.191 5.191 12.759 Å, 90.00 90.00 120.00°
Fractional positions:
Ho 0.000 0.000 0.244
Ho 0.000 0.000 0.756
Ho 0.333 0.667 0.410
Ho 0.333 0.667 0.917
Ho 0.667 0.333 0.083
Ho 0.667 0.333 0.590
Zn 0.333 0.667 0.164
Zn 0.667 0.333 0.836
Cd 0.000 0.000 0.000
Cd 0.000 0.000 0.500
Cd 0.333 0.667 0.666
Cd 0.667 0.333 0.334



## Ho6Zn3Cd (PBE)

Data for Ho6Zn3Cd after structural relaxation.

Properties
Fermi-level density of states (states/eV/atom): 1.03
Symmetry: P2_1/m
ΔH_f (0 K) (eV/atom): -0.21
Raw total energy (eV/atom): -3.43

Cell: 9.564 4.954 10.601 Å, 90.00 97.84 90.00°
Fractional positions:
Ho 0.068 0.250 0.406
Ho 0.136 0.750 0.181
Ho 0.220 0.250 0.963
Ho 0.281 0.750 0.759
Ho 0.375 0.250 0.258
Ho 0.420 0.250 0.587
Ho 0.580 0.750 0.413
Ho 0.625 0.750 0.742
Ho 0.719 0.250 0.241
Ho 0.780 0.750 0.037
Ho 0.864 0.250 0.819
Ho 0.932 0.750 0.594
Zn 0.025 0.750 0.887
Zn 0.119 0.250 0.685
Zn 0.268 0.750 0.459
Zn 0.732 0.250 0.541
Zn 0.881 0.750 0.315
Zn 0.975 0.250 0.113
Cd 0.451 0.750 0.079
Cd 0.549 0.250 0.921



## Ho3Zn4Cd2 (PBE)

Data for Ho3Zn4Cd2 after structural relaxation.

Properties
Fermi-level density of states (states/eV/atom): 0.65
Symmetry: C2/m
ΔH_f (0 K) (eV/atom): -0.33
Raw total energy (eV/atom): -2.63

Cell: 5.792 5.792 8.725 Å, 113.65 113.65 47.30°
Fractional positions:
Ho 0.000 0.000 0.000
Ho 0.338 0.338 0.326
Ho 0.662 0.662 0.674
Zn 0.056 0.056 0.395
Zn 0.271 0.271 0.946
Zn 0.729 0.729 0.054
Zn 0.944 0.944 0.605
Cd 0.381 0.381 0.716
Cd 0.619 0.619 0.284



## Ho2Zn2Cd3 (PBE)

Data for Ho2Zn2Cd3 after structural relaxation.

Properties
Fermi-level density of states (states/eV/atom): 0.86
Symmetry: Cmmm
ΔH_f (0 K) (eV/atom): -0.24
ΔE to the lowest computed polymorph (meV per atom): 38
Raw total energy (eV/atom): -2.30

Cell: 10.534 10.534 3.449 Å, 90.00 90.00 155.84°
Fractional positions:
Ho 0.164 0.836 0.000
Ho 0.836 0.164 0.000
Zn 0.283 0.717 0.500
Zn 0.717 0.283 0.500
Cd 0.000 0.000 0.000
Cd 0.425 0.575 0.500
Cd 0.575 0.425 0.500



## Ho3ZnCd2 (PBE)

Data for Ho3ZnCd2 after structural relaxation.

Properties
Fermi-level density of states (states/eV/atom): 1.05
Symmetry: P4/mmm
ΔH_f (0 K) (eV/atom): -0.32
ΔE to the lowest computed polymorph (meV per atom): 0
Raw total energy (eV/atom): -3.13

Cell: 3.633 3.633 11.217 Å, 90.00 90.00 90.00°
Fractional positions:
Ho 0.000 0.000 0.000
Ho 0.000 0.000 0.348
Ho 0.000 0.000 0.652
Zn 0.500 0.500 0.500
Cd 0.500 0.500 0.173
Cd 0.500 0.500 0.827



## Ho3Zn4Cd4 (PBE)

Data for Ho3Zn4Cd4 after structural relaxation.

Properties
Fermi-level density of states (states/eV/atom): 0.51
Symmetry: C2/m
ΔH_f (0 K) (eV/atom): -0.28
Raw total energy (eV/atom): -2.32

Cell: 14.765 14.765 4.686 Å, 98.99 98.99 13.61°
Fractional positions:
Ho 0.000 0.000 0.000
Ho 0.140 0.140 0.640
Ho 0.860 0.860 0.360
Zn 0.316 0.316 0.817
Zn 0.456 0.456 0.455
Zn 0.544 0.544 0.545
Zn 0.684 0.684 0.183
Cd 0.264 0.264 0.264
Cd 0.408 0.408 0.909
Cd 0.592 0.592 0.091
Cd 0.736 0.736 0.736



## Ho2ZnCd (PBE)

Data for Ho2ZnCd after structural relaxation.

Properties
Fermi-level density of states (states/eV/atom): 0.80
Symmetry: R-3m
ΔH_f (0 K) (eV/atom): 0.19
ΔE to the lowest computed polymorph (meV per atom): 527
Raw total energy (eV/atom): -2.64

Cell: 11.383 11.383 11.383 Å, 17.10 17.10 17.10°
Fractional positions:
Ho 0.091 0.091 0.091
Ho 0.909 0.909 0.909
Zn 0.000 0.000 0.000
Cd 0.500 0.500 0.500



## Ho3Zn2Cd3 (PBE)

Data for Ho3Zn2Cd3 after structural relaxation.

Properties
Fermi-level density of states (states/eV/atom): 0.82
Symmetry: P-62m
ΔH_f (0 K) (eV/atom): -0.30
Raw total energy (eV/atom): -2.68

Cell: 7.576 7.576 3.783 Å, 90.00 90.00 120.00°
Fractional positions:
Ho 0.000 0.405 0.000
Ho 0.405 0.000 0.000
Ho 0.595 0.595 0.000
Zn 0.333 0.667 0.500
Zn 0.667 0.333 0.500
Cd 0.000 0.764 0.500
Cd 0.236 0.236 0.500
Cd 0.764 0.000 0.500



## HoZnCd (PBE)

Data for HoZnCd after structural relaxation.

Properties
Fermi-level density of states (states/eV/atom): 0.73
Symmetry: Pmma
ΔH_f (0 K) (eV/atom): -0.32
Raw total energy (eV/atom): -2.58

Cell: 4.699 3.466 8.203 Å, 90.00 90.00 90.00°
Fractional positions:
Ho 0.250 0.000 0.229
Ho 0.750 0.000 0.771
Zn 0.250 0.500 0.924
Zn 0.750 0.500 0.076
Cd 0.250 0.500 0.592
Cd 0.750 0.500 0.408



## Ho3Zr2Cd2 (PBE)

Data for Ho3Zr2Cd2 after structural relaxation.

Properties
Fermi-level density of states (states/eV/atom): 0.99
Symmetry: Cmmm
ΔH_f (0 K) (eV/atom): -0.07
Raw total energy (eV/atom): -4.73

Cell: 11.509 11.509 3.288 Å, 90.00 90.00 155.29°
Fractional positions:
Ho 0.000 0.000 0.000
Ho 0.149 0.851 0.000
Ho 0.851 0.149 0.000
Zr 0.276 0.724 0.500
Zr 0.724 0.276 0.500
Cd 0.426 0.574 0.500
Cd 0.574 0.426 0.500